Below is a relaxed structure of Tm2Al8Fe, with properties calculated at the PBE level.

The structure belongs to space group P4/mmm (No. 123); the cell edges are 4.1878, 4.1878 and 11.1487 Å and the angles 90.00°, 90.00° and 90.00°. The inequivalent atoms are Tm at (0.0000, 0.0000, 0.1935), Al at (0.0000, 0.5000, 0.0000), Al at (0.0000, 0.5000, 0.3846), Al at (0.5000, 0.5000, 0.1914) and Fe at (0.0000, 0.0000, 0.5000).

The crystal system is tetragonal. The total magnetization is 0.0 μB per cell. For the energy of formation from the pure elements, the calculation gives -397 meV/atom. Its density of states at the Fermi level is 4.97 states/eV/cell. The uncorrected energy is -51.71 eV for the cell shown.

=====

Below is a relaxed structure of TlBrCl, with properties calculated at the PBE level.

The structure belongs to space group Fmm2 (No. 42); the cell edges are 4.7247, 6.2808 and 12.3678 Å and the angles 90.00°, 90.00° and 90.00°. The inequivalent atoms are Tl at (0.0000, 0.0000, 0.0000), Br at (0.0000, 0.0000, 0.6465) and Cl at (0.0000, 0.0000, 0.3696).

The crystal system is orthorhombic. The total magnetization is 0.0 μB per cell. Its energy relative to the lowest polymorph listed for this composition is 267 meV per atom. Its density of states at the Fermi level is 7.93 states/eV/cell. The uncorrected energy is -28.94 eV for the cell shown. The uncorrected formation energy is -1.3 eV/f.u.

=====

Below is a relaxed structure of Sm6SbAs2P3, with properties calculated at the PBE level.

The structure belongs to space group C2/m (No. 12); the cell edges are 18.3405, 4.1925 and 8.4307 Å and the angles 90.00°, 103.51° and 90.00°. The inequivalent atoms are Sm at (0.0014, 0.0000, 0.2340), Sm at (0.1662, 0.5000, 0.0867), Sm at (0.1730, 0.5000, 0.5827), Sb at (0.0000, 0.5000, 0.5000), As at (0.1670, 0.0000, 0.8339), P at (0.0000, 0.5000, 0.0000) and P at (0.1661, 0.0000, 0.3320).

The crystal system is monoclinic. The total magnetization is 0.0 μB per cell. Its density of states at the Fermi level is 3.57 states/eV/cell. The uncorrected energy is -151.19 eV for the cell shown. The uncorrected formation energy is -17.6 eV/f.u.

=====

Below is a relaxed structure of AcNpN2, with properties calculated at the PBE level.

The structure belongs to space group R-3m (No. 166, hexagonal axes); the cell edges are 3.5944, 3.5944 and 18.2798 Å and the angles 90.00°, 90.00° and 120.00°. The inequivalent atoms are Ac at (0.0000, 0.0000, 0.0000), Np at (0.0000, 0.0000, 0.5000) and N at (0.0000, 0.0000, 0.2297).

The crystal system is trigonal. The total magnetization is 8.4 μB per cell. Its energy relative to the lowest polymorph listed for this composition is 0 meV per atom. Its density of states at the Fermi level is 23.03 states/eV/cell. The uncorrected energy is -113.93 eV for the cell shown. The uncorrected formation energy is -4.3 eV/f.u.